First-principles (PBE-GGA) data for an optimized crystal structure of TmLuGePt, as listed in Alexandria.

Calculated values
E_form = -0.973 eV per atom
Density of states at the Fermi level = 0.97 states/eV/cell

Lattice parameters (Å, degrees): 4.9243 4.9243 4.9243 60.00 60.00 60.00
Atoms (fractional coordinates):
Ge: 0.2500 0.2500 0.2500
Lu: 0.5000 0.5000 0.5000
Tm: 0.0000 0.0000 0.0000
Pt: 0.7500 0.7500 0.7500

=====

First-principles (PBE-GGA) data for an optimized crystal structure of CaLuSn2, as listed in Alexandria.

Calculated values
E_form = -0.541 eV per atom
Density of states at the Fermi level = 2.20 states/eV/cell

Lattice parameters (Å, degrees): 3.9329 3.9329 7.1197 90.00 90.00 90.00
Atoms (fractional coordinates):
Ca: 0.5000 0.5000 0.5000
Lu: 0.5000 0.5000 0.0000
Sn: 0.0000 0.0000 0.7737
Sn: 0.0000 0.0000 0.2263

=====

First-principles (PBE-GGA) data for an optimized crystal structure of BeOs2Br, as listed in Alexandria.

Calculated values
Energy above the most stable polymorph in this dataset = 565.8 meV/atom
Uncorrected formation energy = 1.109 eV per atom
Density of states at the Fermi level = 2.80 states/eV/cell

Lattice parameters (Å, degrees): 4.2822 4.2822 2.9925 90.00 90.00 90.00
Atoms (fractional coordinates):
Be: 0.5000 0.0000 0.5000
Os: 0.0000 0.0000 0.0000
Os: 0.5000 0.5000 0.0000
Br: 0.0000 0.5000 0.5000

=====

First-principles (PBE-GGA) data for an optimized crystal structure of Zr2BeTe, as listed in Alexandria.

Calculated values
Energy above the most stable polymorph in this dataset = 227.9 meV/atom
Uncorrected formation energy = -0.193 eV per atom
Density of states at the Fermi level = 2.61 states/eV/cell

Lattice parameters (Å, degrees): 3.8092 3.8092 5.8644 90.00 90.00 90.00
Atoms (fractional coordinates):
Be: 0.0000 0.0000 0.4161
Te: 0.5000 0.5000 0.7906
Zr: 0.0000 0.0000 0.9906
Zr: 0.5000 0.5000 0.3027

=====

First-principles (PBE-GGA) data for an optimized crystal structure of ZnCuBiO4, as listed in Alexandria.

Calculated values
Uncorrected formation energy = -0.876 eV per atom
Density of states at the Fermi level = 7.09 states/eV/cell

Lattice parameters (Å, degrees): 5.9995 6.5298 6.5350 120.03 90.00 117.35
Site moments in Bohr magnetons follow the coordinates.
Atoms (fractional coordinates):
Zn: 0.8384 0.6768 0.0884  0.00
Zn: 0.1616 0.3232 0.9116  0.00
Cu: 0.5000 0.5000 0.5000  0.46
Cu: 0.0000 0.5000 0.5000  0.46
Bi: 0.5000 0.0000 0.5000  -0.02
Bi: 0.5000 0.0000 0.0000  -0.02
O: 0.7356 0.4711 0.6956  0.12
O: 0.2238 0.9447 0.2224  -0.03
O: 0.7210 0.9447 0.2224  -0.03
O: 0.7356 0.4711 0.2755  0.12
O: 0.2644 0.5289 0.7245  0.12
O: 0.7762 0.0553 0.7776  -0.03
O: 0.2790 0.0553 0.7776  -0.03
O: 0.2644 0.5289 0.3044  0.12

=====

First-principles (PBE-GGA) data for an optimized crystal structure of Mn2BiIr, as listed in Alexandria.

Calculated values
E_form = 1.074 eV per atom
Density of states at the Fermi level = 8.65 states/eV/cell

Lattice parameters (Å, degrees): 5.5502 5.5502 6.9453 66.45 66.45 90.00
Atoms (fractional coordinates):
Ir: 0.5000 0.5000 0.0000
Ir: 0.2500 0.7500 0.5000
Bi: 0.0000 0.0000 0.0000
Bi: 0.7500 0.2500 0.5000
Mn: 0.5718 0.1250 0.2500
Mn: 0.1782 0.6250 0.2500
Mn: 0.3750 0.4282 0.7500
Mn: 0.8750 0.8218 0.7500

=====

First-principles (PBE-GGA) data for an optimized crystal structure of Li12Hg2Pb5, as listed in Alexandria.

Calculated values
E_form = -0.262 eV per atom
Density of states at the Fermi level = 5.10 states/eV/cell

Lattice parameters (Å, degrees): 9.2098 8.1212 6.3944 90.70 90.00 124.54
Atoms (fractional coordinates):
Li: 0.8939 0.7877 0.0801
Li: 0.0455 0.6395 0.7852
Li: 0.5940 0.6395 0.7852
Li: 0.1466 0.7703 0.3674
Li: 0.6237 0.7703 0.3674
Li: 0.4700 0.9399 0.7307
Li: 0.5300 0.0601 0.2693
Li: 0.8534 0.2297 0.6326
Li: 0.3763 0.2297 0.6326
Li: 0.9545 0.3605 0.2148
Li: 0.4060 0.3605 0.2148
Li: 0.1061 0.2123 0.9199
Hg: 0.7472 0.0000 0.0000
Hg: 0.2528 0.0000 0.0000
Pb: 0.2577 0.5153 0.5541
Pb: 0.3214 0.6428 0.0624
Pb: 0.0000 0.0000 0.5000
Pb: 0.6786 0.3572 0.9376
Pb: 0.7423 0.4847 0.4459

=====

First-principles (PBE-GGA) data for an optimized crystal structure of ZrAlV, as listed in Alexandria.

Calculated values
Energy above the most stable polymorph in this dataset = 137.6 meV/atom
E_form = -0.151 eV per atom
Density of states at the Fermi level = 5.10 states/eV/cell

Lattice parameters (Å, degrees): 3.3668 4.3546 7.2736 90.00 96.35 90.00
Atoms (fractional coordinates):
Al: 0.8539 0.0000 0.7571
Al: 0.2841 0.0000 0.4726
Zr: 0.7755 0.5000 0.3794
Zr: 0.4266 0.0000 0.0847
V: 0.9187 0.5000 0.9817
V: 0.3470 0.5000 0.7252

=====

First-principles (PBE-GGA) data for an optimized crystal structure of DyEr5Tm6, as listed in Alexandria.

Calculated values
E_form = 0.025 eV per atom
Density of states at the Fermi level = 16.85 states/eV/cell

Lattice parameters (Å, degrees): 11.5758 6.0519 6.0451 59.96 85.01 79.99
Atoms (fractional coordinates):
Dy: 0.0000 0.0000 0.0000
Er: 0.5000 0.1667 0.6666
Er: 0.0000 0.3333 0.3334
Er: 0.5000 0.5000 0.0000
Er: 0.0000 0.6667 0.6666
Er: 0.5000 0.8333 0.3334
Tm: 0.7498 0.0833 0.3335
Tm: 0.2502 0.5832 0.3335
Tm: 0.2501 0.2502 0.0000
Tm: 0.7499 0.7498 0.0000
Tm: 0.7498 0.4168 0.6665
Tm: 0.2502 0.9167 0.6665

=====

First-principles (PBE-GGA) data for an optimized crystal structure of Li2InAg7Sn2, as listed in Alexandria.

Calculated values
E_form = -0.066 eV per atom
Density of states at the Fermi level = 3.93 states/eV/cell

Lattice parameters (Å, degrees): 4.1620 4.1620 14.6611 73.75 73.75 90.89
Atoms (fractional coordinates):
Li: 0.8137 0.8137 0.6861
Li: 0.1863 0.1863 0.3139
In: 0.0000 0.0000 0.0000
Ag: 0.5000 0.5000 0.0000
Ag: 0.2450 0.2450 0.5002
Ag: 0.7550 0.7550 0.4998
Ag: 0.8378 0.3378 0.1627
Ag: 0.3378 0.8378 0.1627
Ag: 0.6622 0.1622 0.8373
Ag: 0.1622 0.6622 0.8373
Sn: 0.6820 0.6820 0.3176
Sn: 0.3180 0.3180 0.6824

=====

First-principles (PBE-GGA) data for an optimized crystal structure of GdSc3Mn, as listed in Alexandria.

Calculated values
E_form = 0.118 eV per atom
Density of states at the Fermi level = 6.95 states/eV/cell

Lattice parameters (Å, degrees): 4.9489 4.9489 4.9489 90.00 90.00 90.00
Site moments in Bohr magnetons follow the coordinates.
Atoms (fractional coordinates):
Sc: 0.0000 0.5000 0.0000  0.07
Sc: 0.0000 0.0000 0.5000  0.07
Sc: 0.5000 0.0000 0.0000  0.07
Gd: 0.5000 0.5000 0.5000  7.13
Mn: 0.0000 0.0000 0.0000  -0.56

=====

First-principles (PBE-GGA) data for an optimized crystal structure of Sr2Cd12InAg3, as listed in Alexandria.

Calculated values
E_form = -0.026 eV per atom
Density of states at the Fermi level = 8.10 states/eV/cell

Lattice parameters (Å, degrees): 7.7004 7.7004 7.7004 86.11 86.11 86.11
Atoms (fractional coordinates):
Sr: 0.7476 0.7476 0.7476
Sr: 0.2524 0.2524 0.2524
Cd: 0.4258 0.4258 0.8497
Cd: 0.8028 0.8028 0.2905
Cd: 0.2905 0.8028 0.8028
Cd: 0.8497 0.4258 0.4258
Cd: 0.8028 0.2905 0.8028
Cd: 0.4258 0.8497 0.4258
Cd: 0.5742 0.5742 0.1503
Cd: 0.1972 0.1972 0.7095
Cd: 0.7095 0.1972 0.1972
Cd: 0.1503 0.5742 0.5742
Cd: 0.1972 0.7095 0.1972
Cd: 0.5742 0.1503 0.5742
In: 0.0000 0.0000 0.0000
Ag: 0.5000 0.0000 0.0000
Ag: 0.0000 0.5000 0.0000
Ag: 0.0000 0.0000 0.5000